No. 1
ThGa2Ru | PBE | optimized geometry

Cell and atoms, written as CIF:
```
data_ThGa2Ru
_chemical_formula_sum 'Th1 Ga2 Ru1'
_space_group_name_H-M_alt 'P 1'
_space_group_IT_number 1
_cell_length_a 3.269
_cell_length_b 3.269
_cell_length_c 7.034
_cell_angle_alpha 90.00
_cell_angle_beta 90.00
_cell_angle_gamma 90.00
loop_
_space_group_symop_operation_xyz
'x,y,z'
loop_
_atom_site_label
_atom_site_type_symbol
_atom_site_fract_x
_atom_site_fract_y
_atom_site_fract_z
Ga1 Ga 0.000 0.000 0.189
Ga2 Ga 0.000 0.000 0.811
Th1 Th 0.500 0.500 0.500
Ru1 Ru 0.500 0.500 0.000
```

No. 2
SrGa4Ag12 | PBE | optimized geometry

Cell and atoms, written as CIF:
```
data_SrGa4Ag12
_chemical_formula_sum 'Sr1 Ga4 Ag12'
_space_group_name_H-M_alt 'P 1'
_space_group_IT_number 1
_cell_length_a 7.877
_cell_length_b 7.877
_cell_length_c 7.877
_cell_angle_alpha 109.47
_cell_angle_beta 109.47
_cell_angle_gamma 109.47
loop_
_space_group_symop_operation_xyz
'x,y,z'
loop_
_atom_site_label
_atom_site_type_symbol
_atom_site_fract_x
_atom_site_fract_y
_atom_site_fract_z
Ag1 Ag 0.843 0.651 0.494
Ag2 Ag 0.349 0.191 0.843
Ag3 Ag 0.349 0.506 0.157
Ag4 Ag 0.651 0.809 0.157
Ag5 Ag 0.157 0.651 0.809
Ag6 Ag 0.651 0.494 0.843
Ag7 Ag 0.843 0.349 0.191
Ag8 Ag 0.494 0.843 0.651
Ag9 Ag 0.157 0.349 0.506
Ag10 Ag 0.809 0.157 0.651
Ag11 Ag 0.506 0.157 0.349
Ag12 Ag 0.191 0.843 0.349
Sr1 Sr 0.000 0.000 0.000
Ga1 Ga 0.000 0.000 0.500
Ga2 Ga 0.000 0.500 0.000
Ga3 Ga 0.500 0.000 0.000
Ga4 Ga 0.500 0.500 0.500
```

Number 1: formation energy from the elements -1.41 eV/f.u., total moment 0.00 Bohr magnetons per cell. Number 2: formation energy from the elements 3.19 eV/f.u., total moment 0.00 Bohr magnetons per cell.